A plane-wave DFT calculation with PBE-GGA was carried out for an optimized crystal structure of Er2CI2.

a = 3.8352 Å, b = 3.8348 Å, c = 11.8447 Å
α = 81.85°, β = 80.68°, γ = 60.00°
Closest atoms and distances in Å follow each position.
Atoms (fractional coordinates):
C 0.0000 0.5000 0.5000  6 Er 2.56
Er 0.7082 0.1943 0.3894  3 C 2.56
Er 0.2918 0.8057 0.6106  3 C 2.56
I 0.4439 0.9075 0.2046  3 Er 3.09
I 0.5561 0.0925 0.7954  3 Er 3.09

Results
Its formation energy without anion corrections is -975.1 meV/atom. The total moment comes out at 0.00 μB per formula unit.